The following is a DFT calculation (PBE-GGA) of a relaxed structure of BaTl2Fe.

For the energy of formation from the pure elements, the calculation gives 119 kJ/mol of formula units.

Structure (extended XYZ):
```
4
Lattice="-1.5916 3.3951 0.8487 -0.9856 -1.3288 3.4674 7.0109 2.5447 2.9679" Properties=species:S:1:pos:R:3 pbc="T T T"
Fe 4.6794 3.1993 4.6845
Ba 3.5994 1.3064 1.5238
Tl 6.5511 2.3778 2.7733
Tl 0.1201 1.5445 2.7544
```


The following is a DFT calculation (PBE-GGA) of a relaxed structure of YCrOs2.

For the energy of formation from the pure elements, the calculation gives 143 kJ/mol of formula units.

Structure (extended XYZ):
```
4
Lattice="3.7517 1.7853 1.8319 0.2686 0.5999 4.4929 2.7774 -2.6027 2.4760" Properties=species:S:1:pos:R:3 pbc="T T T"
Cr 0.0000 0.0000 0.0000
Os 5.0982 -0.1632 6.6007
Os 1.6994 -0.0544 2.2002
Y 3.3988 -0.1088 4.4004
```


The following is a DFT calculation (PBE-GGA) of a relaxed structure of Pr6ThTl.

For the energy of formation from the pure elements, the calculation gives -48 kJ/mol of formula units.

Structure (extended XYZ):
```
8
Lattice="5.0906 0.0000 0.0000 0.0000 5.0906 0.0000 0.0000 0.0000 10.3252" Properties=species:S:1:pos:R:3 pbc="T T T"
Pr 2.5453 2.5453 0.0000
Pr 2.5453 0.0000 7.7604
Pr 0.0000 2.5453 7.7604
Pr 0.0000 2.5453 2.5648
Pr 2.5453 0.0000 2.5648
Pr 2.5453 2.5453 5.1626
Tl 0.0000 0.0000 0.0000
Th 0.0000 0.0000 5.1626
```


The following is a DFT calculation (PBE-GGA) of a relaxed structure of Na2AlC.

For the energy of formation from the pure elements, the calculation gives 480 kJ/mol of formula units.

Structure (extended XYZ):
```
8
Lattice="-3.2890 -1.3053 0.2846 0.3067 -0.0016 3.5367 -5.2170 8.8061 2.2382" Properties=species:S:1:pos:R:3 pbc="T T T"
C -1.4912 -0.6535 1.9107
C -3.2007 4.0755 3.8428
Na -6.5308 5.4611 4.9234
Na -5.0225 6.1145 3.2106
Na -1.6157 2.0008 2.8135
Na -3.2295 1.4220 1.1716
Al 0.0000 0.0000 0.0000
Al -4.9986 3.4237 2.2167
```


The following is a DFT calculation (PBE-GGA) of a relaxed structure of Np2Zn3Pt4.

For the energy of formation from the pure elements, the calculation gives -450 kJ/mol of formula units.

Structure (extended XYZ):
```
18
Lattice="-1.7012 -4.8938 2.0322 6.8819 -2.7355 -0.8264 2.6689 4.8287 6.2416" Properties=species:S:1:pos:R:3 pbc="T T T"
Np 4.4725 -1.1274 1.0292
Np 5.7616 -4.4248 1.7884
Np 2.0880 1.6241 5.6590
Np 3.3770 -1.6733 6.4181
Zn 5.7150 -1.9929 3.7953
Zn 2.1346 -0.8078 3.6520
Zn 6.5656 0.4540 2.7792
Zn 1.2840 -3.2547 4.6681
Zn 2.5903 -3.8147 0.6029
Zn 0.0000 0.0000 0.0000
Pt 4.4272 0.2733 4.3641
Pt 0.5446 -0.9685 5.7443
Pt 7.1705 1.2464 5.1937
Pt 3.4224 -3.0739 3.0833
Pt 7.3049 -1.8322 1.7031
Pt 0.6791 -4.0470 2.2536
Pt 6.3199 -1.2005 6.2098
Pt 1.5297 -1.6001 1.2375
```


The following is a DFT calculation (PBE-GGA) of a relaxed structure of GdYGaSn.

For the energy of formation from the pure elements, the calculation gives -222 kJ/mol of formula units.

Structure (extended XYZ):
```
4
Lattice="5.2468 0.0000 0.0000 2.6234 4.5438 0.0000 2.6234 1.5146 4.2840" Properties=species:S:1:pos:R:3 pbc="T T T"
Sn 7.8701 4.5438 3.2130
Y 0.0000 0.0000 0.0000
Gd 5.2468 3.0292 2.1420
Ga 2.6234 1.5146 1.0710
```


The following is a DFT calculation (PBE-GGA) of a relaxed structure of MnTl2Sb.

Its energy relative to the elements, uncorrected is 1.1010 eV/atom.

Structure (extended XYZ):
```
8
Lattice="-6.1836 0.4059 1.4150 0.0460 -6.0537 1.9376 -1.5438 -0.8597 7.7770" Properties=species:S:1:pos:R:3 pbc="T T T"
Tl -1.4169 -3.9289 3.3978
Tl -3.9582 -0.7367 3.0053
Tl -6.5304 -5.3059 8.6765
Tl -3.4573 -3.0434 7.1799
Sb 0.0000 0.0000 0.0000
Sb -5.3981 -1.6388 5.4342
Mn -2.2833 -4.8687 5.6955
Mn -3.0688 -2.8239 1.6763
```


The following is a DFT calculation (PBE-GGA) of a relaxed structure of LaTc2Se.

Its energy relative to the elements, uncorrected is -0.0920 eV/atom.

Structure (extended XYZ):
```
4
Lattice="-3.2153 0.2045 -0.1740 -0.0539 -2.5402 -1.9887 -0.5999 -4.5132 5.7811" Properties=species:S:1:pos:R:3 pbc="T T T"
La -0.2937 -2.2094 2.8301
Se -2.1155 -4.7861 3.5534
Tc -1.7544 -2.0687 0.0726
Tc -0.0055 -0.0412 0.0528
```


The following is a DFT calculation (PBE-GGA) of a relaxed structure of ReBr.

Its energy relative to the elements, uncorrected is 1.0797 eV/atom.

Structure (extended XYZ):
```
32
Lattice="9.8602 0.0000 0.0000 0.0000 10.0718 0.0000 0.0000 0.0000 7.3903" Properties=species:S:1:pos:R:3 pbc="T T T"
Br 2.4651 0.9781 1.8476
Br 2.4651 6.0140 5.5427
Br 7.3952 9.0937 1.8476
Br 4.9301 3.4960 3.6951
Br 7.3952 4.0578 5.5427
Br 4.9301 6.5757 3.6951
Br 0.0000 8.5319 3.6951
Br 7.3952 6.0140 1.8476
Br 0.0000 1.5399 3.6951
Br 4.9301 1.5399 0.0000
Br 2.4651 9.0937 5.5427
Br 0.0000 3.4960 0.0000
Br 0.0000 6.5757 0.0000
Br 2.4651 4.0578 1.8476
Br 7.3952 0.9781 5.5427
Br 4.9301 8.5319 0.0000
Re 1.3404 7.5538 1.8476
Re 8.5198 2.5179 1.8476
Re 3.5897 7.5538 1.8476
Re 3.5897 2.5179 5.5427
Re 1.1247 5.0359 3.6951
Re 6.0548 5.0359 0.0000
Re 6.2705 2.5179 1.8476
Re 1.3404 2.5179 5.5427
Re 8.7356 0.0000 0.0000
Re 8.7356 5.0359 3.6951
Re 6.0548 0.0000 3.6951
Re 8.5198 7.5538 5.5427
Re 1.1247 0.0000 0.0000
Re 6.2705 7.5538 5.5427
Re 3.8054 0.0000 3.6951
Re 3.8054 5.0359 0.0000
```


The following is a DFT calculation (PBE-GGA) of a relaxed structure of HoZnHg.

For the energy of formation from the pure elements, the calculation gives -115 kJ/mol of formula units.

Structure (extended XYZ):
```
3
Lattice="-1.1761 1.3491 -2.9971 -1.3378 -4.2570 -1.3913 -2.9620 2.7173 2.3854" Properties=species:S:1:pos:R:3 pbc="T T T"
Zn -0.1957 0.2245 -0.4987
Hg -2.6168 0.6176 0.6266
Ho -2.6634 -1.0327 -2.1308
```


The following is a DFT calculation (PBE-GGA) of a relaxed structure of La3SiN4.

Its energy relative to the elements, uncorrected is -1.1606 eV/atom.

Structure (extended XYZ):
```
16
Lattice="5.5632 0.0000 0.0000 0.0000 6.9100 0.0000 0.0000 0.0000 7.3944" Properties=species:S:1:pos:R:3 pbc="T T T"
N 3.3127 4.9170 2.1880
N 0.3129 6.3139 0.0000
N 3.7810 1.3497 0.0000
N 3.0945 0.5961 3.6972
N 0.9994 5.5602 3.6972
N 0.5311 1.9929 1.5092
N 3.3127 4.9170 5.2064
N 0.5311 1.9929 5.8852
Si 0.0018 1.1806 0.0000
Si 2.7835 5.7293 3.6972
La 2.9569 2.3837 5.4888
La 2.9569 2.3837 1.9056
La 0.1753 4.5263 1.7916
La 0.1395 0.8478 3.6972
La 2.9211 6.0621 0.0000
La 0.1753 4.5263 5.6027
```


The following is a DFT calculation (PBE-GGA) of a relaxed structure of BaMoIr2.

For the energy of formation from the pure elements, the calculation gives 221 kJ/mol of formula units.

Structure (extended XYZ):
```
4
Lattice="10.0974 -0.0301 -0.0176 9.6665 2.9186 -0.0176 9.6665 1.4127 2.5539" Properties=species:S:1:pos:R:3 pbc="T T T"
Ba 22.0728 3.2259 1.8890
Ir 29.0092 4.2396 2.4826
Ir 15.1364 2.2121 1.2954
Mo 7.3576 1.0753 0.6297
```


Number 1: total magnetic moment 2.8 μB/cell, energy -3.470 eV/atom. Number 2: total magnetic moment 1.5 μB/cell, energy -9.267 eV/atom. Number 3: total magnetic moment 0.0 μB/cell, energy -4.870 eV/atom. Number 4: total magnetic moment 0.0 μB/cell, energy -2.658 eV/atom. Number 5: total magnetic moment 16.4 μB/cell, energy -6.503 eV/atom. Number 6: total magnetic moment 7.1 μB/cell, energy -7.470 eV/atom. Number 7: total magnetic moment 0.0 μB/cell, energy -3.405 eV/atom. Number 8: total magnetic moment 0.0 μB/cell, energy -7.378 eV/atom. Number 9: total magnetic moment 0.0 μB/cell, energy -5.981 eV/atom. Number 10: total magnetic moment 0.0 μB/cell, energy -2.447 eV/atom. Number 11: total magnetic moment 1.9 μB/cell, energy -7.849 eV/atom. Number 12: total magnetic moment 0.0 μB/cell, energy -7.047 eV/atom.